First-principles (GGA-PBE) data for crystalline TbLu2Sn at its relaxed geometry, as listed in Alexandria via LeMat-Bulk.

Summary:
Calculated volume in Å³ per atom: 29.64
Formation energy in eV per atom: 0.037
Excess energy over the best structure of this formula in the dataset in eV/atom: 0.427

Cell lengths 3.4283, 3.4283, 34.9440 Å; angles 90.00, 90.00, 120.00 degrees
Closest atoms and distances in Å follow each position.
Space group R-3m (No. 166, hexagonal axes)
Asymmetric unit:
1 Tb 0.0000 0.0000 0.0000  2 Lu 3.33, 6 Tb 3.43
2 Lu 0.0000 0.0000 0.0954  3 Sn 3.18, 1 Tb 3.33, 6 Lu 3.43
3 Sn 0.0000 0.0000 0.5000  6 Lu 3.18, 6 Sn 3.43

=====

First-principles (GGA-PBE) data for crystalline TbLuSn2 at its relaxed geometry, as listed in Alexandria via LeMat-Bulk.

Summary:
Calculated volume in Å³ per atom: 26.02
Formation energy in eV per atom: -0.580

Cell lengths 4.8816, 4.8816, 4.3671 Å; angles 90.00, 90.00, 90.00 degrees
Closest atoms and distances in Å follow each position.
Space group P4/mmm (No. 123)
Asymmetric unit:
1 Tb 0.0000 0.0000 0.0000  8 Sn 3.27, 4 Lu 3.45
2 Lu 0.5000 0.5000 0.0000  8 Sn 3.27, 4 Tb 3.45
3 Sn 0.0000 0.5000 0.5000  4 Tb 3.27, 4 Lu 3.27, 4 Sn 3.45